A relaxed structure of VTeRu. Source: Alexandria, functional PBE.

Unit cell a=4.1309 b=4.1309 c=26.6742 alpha=90.00 beta=90.00 gamma=120.00
Space group R3m (No. 160, hexagonal axes)
Symmetry-distinct sites (fractional):
V (0.0000, 0.0000, 0.0000) (multiplicity 3)
V (0.0000, 0.0000, 0.2586) (multiplicity 3)
Te (0.0000, 0.0000, 0.5172) (multiplicity 3)
Te (0.0000, 0.0000, 0.7241) (multiplicity 3)
Ru (0.0000, 0.0000, 0.6275) (multiplicity 3)
Ru (0.0000, 0.0000, 0.9040) (multiplicity 3)

Calculated values
For the total energy, the calculation gives -22.2 eV per formula unit. The energy relative to the lowest polymorph listed for this composition comes out at 0 meV per atom. As for the crystal system: trigonal. The uncorrected formation energy is -0.206 eV/atom. As for the density of states at the Fermi level: 0.328 states/eV/f.u.